<i>
A relaxed Pm4DyHo7 crystal, computed with GGA-PBE.

```
data_Pm4DyHo7
_symmetry_space_group_name_H-M 'C 1 2/m 1'
_symmetry_Int_Tables_number 12
_symmetry_space_group_name_Hall '-C 2y'
_cell_length_a 12.080
_cell_length_b 5.894
_cell_length_c 12.773
_cell_angle_alpha 90.00
_cell_angle_beta 118.22
_cell_angle_gamma 90.00
loop_
_atom_site_label
_atom_site_type_symbol
_atom_site_fract_x
_atom_site_fract_y
_atom_site_fract_z
Pm1 Pm 0.056 0.000 0.332
Pm2 Pm 0.137 0.500 0.777
Dy1 Dy 0.000 0.500 0.000
Ho1 Ho 0.000 0.000 0.000
Ho2 Ho 0.137 0.500 0.505
Ho3 Ho 0.212 0.000 0.924
Ho4 Ho 0.244 0.500 0.312
```

Properties
- N(E_F) (states/eV/cell) = 40.613


<ii>
A relaxed Pm4DyHo7 crystal, computed with GGA-PBE.

```
data_Pm4DyHo7
_symmetry_space_group_name_H-M 'P -1'
_symmetry_Int_Tables_number 2
_symmetry_space_group_name_Hall '-P 1'
_cell_length_a 6.538
_cell_length_b 6.817
_cell_length_c 9.068
_cell_angle_alpha 85.06
_cell_angle_beta 77.12
_cell_angle_gamma 81.76
loop_
_atom_site_label
_atom_site_type_symbol
_atom_site_fract_x
_atom_site_fract_y
_atom_site_fract_z
Pm1 Pm 0.139 0.310 0.284
Pm2 Pm 0.337 0.884 0.693
Dy1 Dy 0.500 0.500 0.000
Ho1 Ho 0.012 0.252 0.950
Ho2 Ho 0.182 0.801 0.358
Ho3 Ho 0.312 0.394 0.616
Ho4 Ho 0.500 0.000 0.000
```

Properties
- N(E_F) (states/eV/cell) = 19.089


Least stable structure: <i>


<i>
A relaxed PmDyHo6 crystal, computed with GGA-PBE.

```
data_PmDyHo6
_symmetry_space_group_name_H-M 'C 1 2/m 1'
_symmetry_Int_Tables_number 12
_symmetry_space_group_name_Hall '-C 2y'
_cell_length_a 16.186
_cell_length_b 5.656
_cell_length_c 5.986
_cell_angle_alpha 90.00
_cell_angle_beta 111.53
_cell_angle_gamma 90.00
loop_
_atom_site_label
_atom_site_type_symbol
_atom_site_fract_x
_atom_site_fract_y
_atom_site_fract_z
Pm1 Pm 0.000 0.000 0.000
Dy1 Dy 0.000 0.500 0.500
Ho1 Ho 0.133 0.000 0.573
Ho2 Ho 0.135 0.500 0.197
Ho3 Ho 0.249 0.500 0.819
```

Properties
- N(E_F) (states/eV/cell) = 29.629


<ii>
A relaxed PmDyHo6 crystal, computed with GGA-PBE.

```
data_PmDyHo6
_symmetry_space_group_name_H-M 'P -1'
_symmetry_Int_Tables_number 2
_symmetry_space_group_name_Hall '-P 1'
_cell_length_a 6.514
_cell_length_b 6.700
_cell_length_c 6.945
_cell_angle_alpha 118.47
_cell_angle_beta 104.53
_cell_angle_gamma 90.09
loop_
_atom_site_label
_atom_site_type_symbol
_atom_site_fract_x
_atom_site_fract_y
_atom_site_fract_z
Pm1 Pm 0.000 0.000 0.000
Dy1 Dy 0.500 0.000 0.000
Ho1 Ho 0.231 0.574 0.480
Ho2 Ho 0.252 0.544 0.001
Ho3 Ho 0.272 0.095 0.526
```

Properties
- N(E_F) (states/eV/cell) = 13.452


Least stable structure: <ii>


<i>
A relaxed Pm4Dy3Ho crystal, computed with GGA-PBE.

```
data_Pm4Dy3Ho
_symmetry_space_group_name_H-M 'C 1 2/m 1'
_symmetry_Int_Tables_number 12
_symmetry_space_group_name_Hall '-C 2y'
_cell_length_a 23.526
_cell_length_b 3.490
_cell_length_c 6.796
_cell_angle_alpha 90.00
_cell_angle_beta 106.63
_cell_angle_gamma 90.00
loop_
_atom_site_label
_atom_site_type_symbol
_atom_site_fract_x
_atom_site_fract_y
_atom_site_fract_z
Pm1 Pm 0.124 0.000 0.368
Pm2 Pm 0.240 0.500 0.236
Dy1 Dy 0.000 0.000 0.500
Dy2 Dy 0.123 0.000 0.881
Ho1 Ho 0.000 0.500 0.000
```

Properties
- N(E_F) (states/eV/cell) = 27.939


<ii>
A relaxed Pm4Dy3Ho crystal, computed with GGA-PBE.

```
data_Pm4Dy3Ho
_symmetry_space_group_name_H-M 'P m n 21'
_symmetry_Int_Tables_number 31
_symmetry_space_group_name_Hall 'P 2ac -2'
_cell_length_a 11.523
_cell_length_b 7.313
_cell_length_c 6.307
_cell_angle_alpha 90.00
_cell_angle_beta 90.00
_cell_angle_gamma 90.00
loop_
_atom_site_label
_atom_site_type_symbol
_atom_site_fract_x
_atom_site_fract_y
_atom_site_fract_z
Pm1 Pm 0.000 0.127 0.000
Pm2 Pm 0.000 0.873 0.499
Pm3 Pm 0.250 0.128 0.334
Dy1 Dy 0.000 0.378 0.500
Dy2 Dy 0.250 0.378 0.833
Ho1 Ho 0.000 0.622 0.000
```

Properties
- N(E_F) (states/eV/cell) = 29.056


Least stable structure: <i>


<i>
A relaxed Pm5Dy3Ho crystal, computed with GGA-PBE.

```
data_Pm5Dy3Ho
_symmetry_space_group_name_H-M 'I 4/m c m'
_symmetry_Int_Tables_number 140
_symmetry_space_group_name_Hall '-I 4 2c'
_cell_length_a 9.242
_cell_length_b 9.242
_cell_length_c 14.332
_cell_angle_alpha 90.00
_cell_angle_beta 90.00
_cell_angle_gamma 90.00
loop_
_atom_site_label
_atom_site_type_symbol
_atom_site_fract_x
_atom_site_fract_y
_atom_site_fract_z
Pm1 Pm 0.000 0.000 0.000
Pm2 Pm 0.203 0.297 0.133
Dy1 Dy 0.000 0.000 0.250
Dy2 Dy 0.110 0.390 0.500
Ho1 Ho 0.000 0.500 0.250
```

Properties
- N(E_F) (states/eV/cell) = 51.998


<ii>
A relaxed Pm5Dy3Ho crystal, computed with GGA-PBE.

```
data_Pm5Dy3Ho
_symmetry_space_group_name_H-M 'C 1 2/c 1'
_symmetry_Int_Tables_number 15
_symmetry_space_group_name_Hall '-C 2yc'
_cell_length_a 16.444
_cell_length_b 6.747
_cell_length_c 11.597
_cell_angle_alpha 90.00
_cell_angle_beta 110.34
_cell_angle_gamma 90.00
loop_
_atom_site_label
_atom_site_type_symbol
_atom_site_fract_x
_atom_site_fract_y
_atom_site_fract_z
Pm1 Pm 0.000 0.188 0.250
Pm2 Pm 0.110 0.002 0.551
Pm3 Pm 0.172 0.411 0.346
Dy1 Dy 0.000 0.500 0.000
Dy2 Dy 0.239 0.097 0.872
Ho1 Ho 0.000 0.261 0.750
```

Properties
- N(E_F) (states/eV/cell) = 49.709


Least stable structure: <i>